[1]
11
Lattice="5.371 -3.594 0.000 5.371 3.594 0.000 -3.120 0.000 9.011" Properties=species:S:1:pos:R:3 comment="K2RbCu2Cl6, optimized geometry, DFT PBE-GGA" raw_formation_energy_ev_per_atom=-1.29 space_group=C2/m pbc="T T T"
K 1.573 0.000 1.171
K 6.049 0.000 7.840
Rb -1.560 0.000 4.506
Cu 2.822 0.000 6.271
Cu 4.800 0.000 2.741
Cl 4.188 1.813 1.596
Cl 3.433 1.813 7.416
Cl 1.808 0.000 4.344
Cl 5.814 0.000 4.668
Cl 4.188 -1.813 1.596
Cl 3.433 -1.813 7.416

***

[2]
8
Lattice="7.195 0.000 0.000 0.000 4.150 0.000 -2.378 0.000 6.836" Properties=species:S:1:pos:R:3 comment="La2TbHfAs4, optimized geometry, DFT PBE-GGA" e_form_ev_per_atom=-1.41 space_group=P2/m pbc="T T T"
La 0.000 0.000 0.000
La 3.598 2.075 0.000
Tb -1.189 2.075 3.418
Hf 2.408 0.000 3.418
As 0.093 0.000 4.985
As 1.276 2.075 1.893
As 3.541 2.075 4.942
As 4.724 0.000 1.851

***

[3]
6
Lattice="0.000 4.449 4.449 4.449 0.000 4.449 4.449 4.449 0.000" Properties=species:S:1:pos:R:3 comment="RbNaCd4, optimized geometry, DFT PBE-GGA" e_form_ev_per_atom=-0.07 space_group=F-43m pbc="T T T"
Rb 0.000 0.000 0.000
Na 6.674 6.674 6.674
Cd 3.350 3.350 3.350
Cd 5.549 5.549 3.350
Cd 5.549 3.350 5.549
Cd 3.350 5.549 5.549

***

[4]
5
Lattice="4.860 0.000 0.000 0.000 4.860 0.000 0.000 0.000 4.860" Properties=species:S:1:pos:R:3 comment="CaSi3Ge, optimized geometry, DFT PBE-GGA" raw_formation_energy_ev_per_atom=0.55 de_polymorph_ev_per_atom=0.000 space_group=Pm-3m pbc="T T T"
Ca 0.000 0.000 0.000
Si 0.000 2.430 2.430
Si 2.430 0.000 2.430
Si 2.430 2.430 0.000
Ge 2.430 2.430 2.430

***

[5]
4
Lattice="-1.898 2.716 5.748 1.898 -2.716 5.748 1.898 2.716 -5.748" Properties=species:S:1:pos:R:3 comment="CaY2As, optimized geometry, DFT PBE-GGA" e_form_ev_per_atom=-0.57 space_group=Immm pbc="T T T"
Ca 0.000 0.000 0.000
Y 1.898 0.000 3.552
Y 0.000 2.716 2.197
As 0.000 0.000 5.748

***

[6]
8
Lattice="-2.223 3.646 6.576 2.223 -3.646 6.576 2.223 3.646 -6.576" Properties=species:S:1:pos:R:3 comment="DyHo5Ni2, optimized geometry, DFT PBE-GGA" e_form_ev_per_atom=-0.12 space_group=Immm pbc="T T T"
Dy 0.000 0.000 0.000
Ho 2.223 1.926 -1.983
Ho 2.223 1.926 1.983
Ho 0.000 3.646 0.000
Ho 0.000 1.720 4.593
Ho 0.000 1.720 8.559
Ni 2.223 0.000 3.912
Ni 0.000 3.646 2.665

***

DOS(E_F): 0.425 0.174 0.350 0.551 0.990 1.060 (states/eV per atom)
Total DFT energy (no corrections): -3.328 -6.792 -1.066 -4.031 -5.468 -5.001 (eV/atom)
V: 347.9 204.1 176.2 114.8 118.5 213.2 (Å³ per cell)